Be3CrFe | PBE-GGA | relaxed

Lattice parameters (Å, degrees): 3.7852 3.7852 3.7852 90.00 90.00 90.00
Sites, in units of the cell vectors:
Be 0.0000 0.0000 0.5000
Be 0.0000 0.5000 0.0000
Be 0.5000 0.0000 0.0000
Cr 0.5000 0.5000 0.5000
Fe 0.0000 0.0000 0.0000

## Properties
Raw total energy = -24.897 eV/cell
Space-group type = No. 221
Formation enthalpy at 0 K = 0.8735 eV/atom